VASP calculation (PBE-GGA) on crystalline DySiIr at its relaxed geometry.

SG: P6_3/mmc (194)

abc: 4.097 4.097 8.169
angles: 90.00 90.00 120.00
Fractional coordinates of all 6 atoms:
Dy 0.000 0.000 0.000
Dy 0.000 0.000 0.500
Si 0.333 0.667 0.250
Si 0.667 0.333 0.750
Ir 0.333 0.667 0.750
Ir 0.667 0.333 0.250

***

VASP calculation (PBE-GGA) on crystalline Dy2Si3Ir at its relaxed geometry.

SG: Fmmm (69)

abc: 8.152 8.131 5.741
angles: 69.56 69.15 41.29
Fractional coordinates of all 12 atoms:
Dy 0.247 0.753 0.753
Dy 0.250 0.250 0.250
Dy 0.750 0.750 0.750
Dy 0.753 0.247 0.247
Si 0.167 0.666 0.334
Si 0.333 0.333 0.667
Si 0.334 0.833 0.167
Si 0.666 0.167 0.833
Si 0.667 0.667 0.333
Si 0.833 0.334 0.666
Ir 0.166 0.166 0.834
Ir 0.834 0.834 0.166

***

VASP calculation (PBE-GGA) on crystalline Dy3Si2Ir2 at its relaxed geometry.

SG: Cmcm (63)

abc: 5.575 5.575 13.285
angles: 90.00 90.00 137.05
Fractional coordinates of all 14 atoms:
Dy 0.018 0.982 0.750
Dy 0.274 0.726 0.104
Dy 0.274 0.726 0.396
Dy 0.726 0.274 0.604
Dy 0.726 0.274 0.896
Dy 0.982 0.018 0.250
Si 0.437 0.563 0.590
Si 0.437 0.563 0.910
Si 0.563 0.437 0.090
Si 0.563 0.437 0.410
Ir 0.000 0.000 0.000
Ir 0.000 0.000 0.500
Ir 0.311 0.689 0.750
Ir 0.689 0.311 0.250

***

VASP calculation (PBE-GGA) on crystalline DySiIr at its relaxed geometry.

SG: F-43m (216)

abc: 4.459 4.459 4.459
angles: 60.00 60.00 60.00
Fractional coordinates of all 3 atoms:
Dy 0.000 0.000 0.000
Si 0.500 0.500 0.500
Ir 0.250 0.250 0.250

***

Sequential E_tot output: -7.260, -6.638, -7.046, -6.858 eV per atom